1.
Compound: Pm6Dy2Y3Th
Source: the Alexandria database
Functional: PBE
Structure: optimized geometry

Geometry as CIF:
```
data_Pm6Dy2Y3Th
_symmetry_space_group_name_H-M 'C 1 2/m 1'
_symmetry_Int_Tables_number 12
_cell_length_a 6.255
_cell_length_b 10.824
_cell_length_c 11.957
_cell_angle_alpha 90.00
_cell_angle_beta 100.05
_cell_angle_gamma 90.00
loop_
_symmetry_equiv_pos_as_xyz
'x,y,z'
'-x,-y,-z'
'-x,y,-z'
'x,-y,z'
'x+1/2,y+1/2,z'
'-x+1/2,-y+1/2,-z'
'-x+1/2,y+1/2,-z'
'x+1/2,-y+1/2,z'
loop_
_atom_site_label
_atom_site_type_symbol
_atom_site_fract_x
_atom_site_fract_y
_atom_site_fract_z
Pm1 Pm 0.246 0.000 0.252
Pm2 Pm 0.248 0.165 0.749
Dy1 Dy 0.000 0.333 0.500
Y1 Y 0.000 0.167 0.000
Y2 Y 0.000 0.500 0.000
Th1 Th 0.000 0.000 0.500
```

Output
E_form in eV per formula unit: 0.34


2.
Compound: Ga2AgF8
Source: the Alexandria database
Functional: PBE
Structure: optimized geometry

Geometry as CIF:
```
data_Ga2AgF8
_symmetry_space_group_name_H-M 'C 1 2/m 1'
_symmetry_Int_Tables_number 12
_cell_length_a 11.679
_cell_length_b 5.306
_cell_length_c 4.993
_cell_angle_alpha 90.00
_cell_angle_beta 111.72
_cell_angle_gamma 90.00
loop_
_symmetry_equiv_pos_as_xyz
'x,y,z'
'-x,-y,-z'
'-x,y,-z'
'x,-y,z'
'x+1/2,y+1/2,z'
'-x+1/2,-y+1/2,-z'
'-x+1/2,y+1/2,-z'
'x+1/2,-y+1/2,z'
loop_
_atom_site_label
_atom_site_type_symbol
_atom_site_fract_x
_atom_site_fract_y
_atom_site_fract_z
Ga1 Ga 0.238 0.000 0.311
Ag1 Ag 0.000 0.500 0.000
F1 F 0.108 0.000 0.974
F2 F 0.143 0.258 0.452
F3 F 0.170 0.500 0.951
```

Output
Energy above the lowest structure with this stoichiometry in eV per atom: 0.057


For reference, E_tot by record: -5.348, -4.201 eV/atom.